--- 1 ---
A crystal of NbFeTeN2 relaxed with PBEsol, computed with SCAN.

Cell: 3.776 3.776 4.999 Å, 90.00 90.00 90.00°
Space group P4/mmm (No. 123)
Asymmetric unit:
1 Nb 0.000 0.000 0.000 x1
2 Fe 0.500 0.500 0.500 x1
3 Te 0.500 0.500 0.000 x1
4 N 0.000 0.500 0.500 x2

--- 2 ---
A crystal of NbFeTeN2 relaxed with PBEsol, computed with SCAN.

Cell: 3.971 3.971 5.750 Å, 90.00 90.00 90.00°
Space group P4/mmm (No. 123)
Asymmetric unit:
1 Nb 0.000 0.000 0.000 x1
2 Fe 0.500 0.500 0.500 x1
3 Te 0.000 0.000 0.500 x1
4 N 0.000 0.500 0.000 x2

Which one sits at the top of the stability order? 2 does.

--- 1 ---
A crystal of YFe3N relaxed with PBEsol, computed with SCAN.

Cell: 4.528 4.528 4.528 Å, 90.00 90.00 90.00°
Space group Pm-3m (No. 221)
Asymmetric unit:
1 Y 0.000 0.000 0.000 x1
2 Fe 0.000 0.000 0.500 x3
3 N 0.500 0.500 0.500 x1

--- 2 ---
A crystal of YFe3N relaxed with PBEsol, computed with SCAN.

Cell: 3.844 3.844 3.844 Å, 90.00 90.00 90.00°
Space group Pm-3m (No. 221)
Asymmetric unit:
1 Y 0.000 0.000 0.000 x1
2 Fe 0.000 0.500 0.500 x3
3 N 0.500 0.500 0.500 x1

Which one sits at the top of the stability order? 2 does.

--- 1 ---
A crystal of NaFe5O8 relaxed with PBEsol, computed with SCAN.

Cell: 5.6387 5.6387 14.8240 Å, 90.00 90.00 120.00°
Space group R-3m (No. 166, hexagonal axes)
Asymmetric unit:
1 Na 0.0000 0.0000 0.0000 x3
2 Fe 0.0000 0.0000 0.3784 x6
3 Fe 0.0000 0.5000 0.5000 x9
4 O 0.0000 0.0000 0.2409 x6
5 O 0.0108 0.5054 0.7652 x18

--- 2 ---
A crystal of NaFe5O8 relaxed with PBEsol, computed with SCAN.

Cell: 8.155 8.155 8.155 Å, 90.00 90.00 90.00°
Space group P4_332 (No. 212)
Asymmetric unit:
1 Na 0.125 0.125 0.125 x4
2 Fe 0.008 0.992 0.492 x8
3 Fe 0.112 0.862 0.875 x12
4 O 0.091 0.856 0.109 x24
5 O 0.124 0.376 0.624 x8

Which one sits at the top of the stability order? 2 does.

--- 1 ---
A crystal of Na2FeO3 relaxed with PBEsol, computed with SCAN.

Cell: 5.151 8.938 5.558 Å, 90.00 108.70 90.00°
Space group C2/m (No. 12)
Asymmetric unit:
1 Na 0.000 0.000 0.000 x2
2 Na 0.000 0.157 0.500 x4
3 Na 0.000 0.500 0.500 x2
4 Fe 0.000 0.333 0.000 x4
5 O 0.188 0.500 0.196 x4
6 O 0.243 0.310 0.805 x8

--- 2 ---
A crystal of Na2FeO3 relaxed with PBEsol, computed with SCAN.

Cell: 10.795 6.109 5.096 Å, 90.00 90.00 90.00°
Space group Cmc2_1 (No. 36)
Asymmetric unit:
1 Na 0.161 0.185 0.000 x8
2 Fe 0.000 0.319 0.526 x4
3 O 0.000 0.421 0.853 x4
4 O 0.139 0.189 0.472 x8

Which one sits at the top of the stability order? 1 does.